A plane-wave DFT calculation with PBE was carried out for an optimized crystal structure of Sc2CI2.

Unit cell a=3.6622 b=3.6624 c=11.4670 alpha=82.05 beta=80.81 gamma=60.00
Closest atoms and distances in Å follow each position.
Fractional positions:
Sc 0.7063 0.1923 0.3952  3 C 2.42
Sc 0.2937 0.8077 0.6048  3 C 2.42
C 0.0000 0.5000 0.5000  6 Sc 2.42
I 0.4417 0.9033 0.2133  3 Sc 2.95
I 0.5583 0.0967 0.7867  3 Sc 2.95

**E_form (uncorrected)**: -0.8956 eV per atom
**VASP energy**: -29.5 eV/cell